NaHgMoF6 (GGA+U, relaxed); DFT total energy = -4.4623 eV/atom; SG = P-31c, No. 163; magnetic moment = 3.0 μB per formula unit
1.0
5.796 0.000 0.000
-2.898 5.019 0.000
0.000 0.000 9.479
F Hg Na Mo
12 2 2 2
Direct
0.974 0.641 0.368 F
0.641 0.667 0.632 F
0.333 0.359 0.868 F
0.667 0.641 0.132 F
0.026 0.359 0.632 F
0.641 0.974 0.868 F
0.333 0.974 0.632 F
0.667 0.026 0.368 F
0.026 0.667 0.868 F
0.359 0.026 0.132 F
0.359 0.333 0.368 F
0.974 0.333 0.132 F
0.000 0.000 0.000 Hg
0.000 0.000 0.500 Hg
0.333 0.667 0.250 Na
0.667 0.333 0.750 Na
0.333 0.667 0.750 Mo
0.667 0.333 0.250 Mo